1.
DFT (PBE-GGA) results for a relaxed Sm3GaSe crystal.

abc: 8.7736 4.0748 15.7081
angles: 90.00 90.00 90.00
Closest atoms and distances in Å follow each position.
Fractional coordinates of all 20 atoms:
Sm 0.0140 0.2500 0.1103  3 Se 2.93-2.95, 1 Ga 3.19
Sm 0.1519 0.2500 0.5527  2 Se 2.89, 2 Ga 3.12
Sm 0.1594 0.7500 0.2877  1 Se 2.88, 2 Ga 3.09
Sm 0.3406 0.2500 0.7877  1 Se 2.88, 2 Ga 3.09
Sm 0.3481 0.7500 0.0527  2 Se 2.89, 2 Ga 3.12
Sm 0.4860 0.7500 0.6103  3 Se 2.93-2.95, 1 Ga 3.19
Sm 0.5140 0.2500 0.3897  3 Se 2.93-2.95, 1 Ga 3.19
Sm 0.6519 0.2500 0.9473  2 Se 2.89, 2 Ga 3.12
Sm 0.6594 0.7500 0.2123  1 Se 2.88, 2 Ga 3.09
Sm 0.8406 0.2500 0.7123  1 Se 2.88, 2 Ga 3.09
Sm 0.8481 0.7500 0.4473  2 Se 2.89, 2 Ga 3.12
Sm 0.9860 0.7500 0.8897  3 Se 2.93-2.95, 1 Ga 3.19
Ga 0.1252 0.7500 0.7021  7 Sm 3.09-3.23
Ga 0.3748 0.2500 0.2021  7 Sm 3.09-3.23
Ga 0.6252 0.7500 0.7979  7 Sm 3.09-3.23
Ga 0.8748 0.2500 0.2979  7 Sm 3.09-3.23
Se 0.1972 0.2500 0.9526  6 Sm 2.88-2.95
Se 0.3028 0.7500 0.4526  6 Sm 2.88-2.95
Se 0.6972 0.2500 0.5474  6 Sm 2.88-2.95
Se 0.8028 0.7500 0.0474  6 Sm 2.88-2.95

## Properties
D(E_F) in states/eV/cell: 21.8
Space group: No. 62
M_tot in μB per formula unit: 0.0
DFT total energy in eV/atom: -5.058
Formation energy without anion corrections in kJ per mole of atoms: -89.2

---

2.
DFT (PBE-GGA) results for a relaxed Sm9Ga5Se21 crystal.

abc: 12.1835 12.1835 12.1835
angles: 94.28 94.28 94.28
Closest atoms and distances in Å follow each position.
Fractional coordinates of all 70 atoms:
Sm 0.0199 0.1758 0.8043  6 Se 2.92-3.03
Sm 0.0420 0.8225 0.6657  6 Se 2.92-3.07
Sm 0.1445 0.9762 0.3571  7 Se 2.90-3.21
Sm 0.1462 0.3657 0.5227  7 Se 2.94-3.27
Sm 0.1758 0.8043 0.0199  6 Se 2.92-3.03
Sm 0.3292 0.7006 0.4765  7 Se 2.93-3.22
Sm 0.3571 0.1445 0.9762  7 Se 2.90-3.21
Sm 0.3657 0.5227 0.1462  7 Se 2.94-3.27
Sm 0.4586 0.6830 0.8394  7 Se 2.91-3.16
Sm 0.4765 0.3292 0.7006  7 Se 2.93-3.22
Sm 0.5227 0.1462 0.3657  7 Se 2.94-3.27
Sm 0.6657 0.0420 0.8225  6 Se 2.92-3.07
Sm 0.6830 0.8394 0.4586  7 Se 2.91-3.16
Sm 0.7006 0.4765 0.3292  7 Se 2.93-3.22
Sm 0.8043 0.0199 0.1758  6 Se 2.92-3.03
Sm 0.8225 0.6657 0.0420  6 Se 2.92-3.07
Sm 0.8394 0.4586 0.6830  7 Se 2.91-3.16
Sm 0.9762 0.3571 0.1445  7 Se 2.90-3.21
Ga 0.1372 0.4714 0.8138  4 Se 2.42-2.44
Ga 0.2242 0.2242 0.2242  3 Se 2.36
Ga 0.3093 0.9766 0.6364  4 Se 2.42-2.45
Ga 0.4396 0.4396 0.4396  6 Se 2.59-2.73
Ga 0.4714 0.8138 0.1372  4 Se 2.42-2.44
Ga 0.6364 0.3093 0.9766  4 Se 2.42-2.45
Ga 0.7241 0.7241 0.7241  3 Se 2.36
Ga 0.8138 0.1372 0.4714  4 Se 2.42-2.44
Ga 0.9392 0.9392 0.9392  6 Se 2.60-2.71
Ga 0.9766 0.6364 0.3093  4 Se 2.42-2.45
Se 0.0039 0.8956 0.1484  1 Ga 2.71, 3 Sm 2.94-3.01
Se 0.0406 0.5947 0.1289  1 Ga 2.42
Se 0.0644 0.2036 0.3215  1 Ga 2.36
Se 0.0675 0.5542 0.6504  1 Ga 2.42
Se 0.0983 0.7600 0.4365  1 Ga 2.42
Se 0.1289 0.0406 0.5947  1 Ga 2.42
Se 0.1484 0.0039 0.8956  1 Ga 2.71, 3 Sm 2.94-3.01
Se 0.2036 0.3215 0.0644  1 Ga 2.36
Se 0.2204 0.3038 0.7508  1 Ga 2.44
Se 0.2503 0.4899 0.3540  1 Ga 2.59
Se 0.2620 0.5963 0.9368  1 Ga 2.42
Se 0.2776 0.7918 0.7000  1 Ga 2.45
Se 0.3038 0.7508 0.2204  1 Ga 2.44
Se 0.3215 0.0644 0.2036  1 Ga 2.36
Se 0.3540 0.2503 0.4899  1 Ga 2.59
Se 0.3762 0.9413 0.4559  1 Ga 2.42
Se 0.3826 0.5320 0.6360  1 Ga 2.73, 3 Sm 2.93-3.02
Se 0.4047 0.8884 0.9681  1 Ga 2.42
Se 0.4365 0.0983 0.7600  1 Ga 2.42
Se 0.4559 0.3762 0.9413  1 Ga 2.42
Se 0.4899 0.3540 0.2503  1 Ga 2.59
Se 0.5320 0.6360 0.3826  1 Ga 2.73, 3 Sm 2.93-3.02
Se 0.5542 0.6504 0.0675  1 Ga 2.42
Se 0.5729 0.8296 0.6845  1 Ga 2.36
Se 0.5947 0.1289 0.0406  1 Ga 2.42
Se 0.5963 0.9368 0.2620  1 Ga 2.42
Se 0.6360 0.3826 0.5320  1 Ga 2.73, 3 Sm 2.93-3.02
Se 0.6504 0.0675 0.5542  1 Ga 2.42
Se 0.6845 0.5729 0.8296  1 Ga 2.36
Se 0.7000 0.2776 0.7918  1 Ga 2.45
Se 0.7383 0.8740 0.9772  1 Ga 2.60
Se 0.7508 0.2204 0.3038  1 Ga 2.44
Se 0.7600 0.4365 0.0983  1 Ga 2.42
Se 0.7918 0.7000 0.2776  1 Ga 2.45
Se 0.8296 0.6845 0.5729  1 Ga 2.36
Se 0.8740 0.9772 0.7383  1 Ga 2.60
Se 0.8884 0.9681 0.4047  1 Ga 2.42
Se 0.8956 0.1484 0.0039  1 Ga 2.71, 3 Sm 2.94-3.01
Se 0.9368 0.2620 0.5963  1 Ga 2.42
Se 0.9413 0.4559 0.3762  1 Ga 2.42
Se 0.9681 0.4047 0.8884  1 Ga 2.42
Se 0.9772 0.7383 0.8740  1 Ga 2.60

## Properties
Space group: No. 146
M_tot in μB per formula unit: 0.0
DFT total energy in eV/atom: -5.142
Formation energy without anion corrections in kJ per mole of atoms: -135.6

---

3.
DFT (PBE-GGA) results for a relaxed Sm5GaSe4 crystal.

abc: 7.2798 7.2798 7.2798
angles: 99.51 99.51 132.03
Closest atoms and distances in Å follow each position.
Fractional coordinates of all 10 atoms:
Sm 0.0000 0.0000 0.0000  2 Ga 2.96, 4 Se 2.98
Sm 0.2045 0.5975 0.8020  1 Ga 2.93, 5 Se 2.96-3.01
Sm 0.4025 0.2045 0.6070  1 Ga 2.93, 5 Se 2.96-3.01
Sm 0.5975 0.7955 0.3930  1 Ga 2.93, 5 Se 2.96-3.01
Sm 0.7955 0.4025 0.1980  1 Ga 2.93, 5 Se 2.96-3.01
Ga 0.5000 0.5000 0.0000  6 Sm 2.93-2.96
Se 0.0987 0.3010 0.3998  6 Sm 2.96-3.01
Se 0.3010 0.9013 0.2023  6 Sm 2.96-3.01
Se 0.6990 0.0987 0.7977  6 Sm 2.96-3.01
Se 0.9013 0.6990 0.6002  6 Sm 2.96-3.01

## Properties
D(E_F) in states/eV/cell: 3.6
Space group: No. 87
M_tot in μB per formula unit: 0.0
DFT total energy in eV/atom: -5.676
Formation energy without anion corrections in kJ per mole of atoms: -156.3